# 1
The following is a PBE calculation of a geometry-optimized NdTh2UAs4 structure, from the Alexandria database.

The structure in CIF format:
```
data_NdTh2UAs4
_cell_length_a 5.9680
_cell_length_b 5.9680
_cell_length_c 11.9231
_cell_angle_alpha 90.00
_cell_angle_beta 90.00
_cell_angle_gamma 90.00
_space_group_name_H-M_alt 'I -4 m 2'
_space_group_IT_number 119
_space_group_name_Hall 'I -4 -2'
loop_
_atom_site_label
_atom_site_fract_x
_atom_site_fract_y
_atom_site_fract_z
Nd1 0.0000 0.0000 0.0000
Th1 0.0000 0.0000 0.5000
Th2 0.0000 0.5000 0.2500
U1 0.0000 0.5000 0.7500
As1 0.0000 0.0000 0.2505
As2 0.0000 0.5000 0.5052
```

DFT total energy	-119.02	eV per cell


# 2
The following is a PBE calculation of a geometry-optimized NdY2Th3As6 structure, from the Alexandria database.

The structure in CIF format:
```
data_NdY2Th3As6
_cell_length_a 7.3255
_cell_length_b 12.6681
_cell_length_c 7.2701
_cell_angle_alpha 90.00
_cell_angle_beta 109.62
_cell_angle_gamma 90.00
_space_group_name_H-M_alt 'C 1 2/m 1'
_space_group_IT_number 12
loop_
_space_group_symop_operation_xyz
'x,y,z'
'-x,-y,-z'
'-x,y,-z'
'x,-y,z'
'x+1/2,y+1/2,z'
'-x+1/2,-y+1/2,-z'
'-x+1/2,y+1/2,-z'
'x+1/2,-y+1/2,z'
loop_
_atom_site_label
_atom_site_fract_x
_atom_site_fract_y
_atom_site_fract_z
Nd1 0.0000 0.0000 0.0000
Y1 0.0000 0.3329 0.0000
Th1 0.0000 0.1654 0.5000
Th2 0.0000 0.5000 0.5000
As1 0.2433 0.5000 0.2454
As2 0.2485 0.3309 0.7532
```

DFT total energy	-171.12	eV per cell


# 3
The following is a PBE calculation of a geometry-optimized Nd3YTh2As6 structure, from the Alexandria database.

The structure in CIF format:
```
data_Nd3YTh2As6
_cell_length_a 18.5094
_cell_length_b 4.2490
_cell_length_c 8.4823
_cell_angle_alpha 90.00
_cell_angle_beta 103.41
_cell_angle_gamma 90.00
_space_group_name_H-M_alt 'C 1 2/m 1'
_space_group_IT_number 12
loop_
_space_group_symop_operation_xyz
'x,y,z'
'-x,-y,-z'
'-x,y,-z'
'x,-y,z'
'x+1/2,y+1/2,z'
'-x+1/2,-y+1/2,-z'
'-x+1/2,y+1/2,-z'
'x+1/2,-y+1/2,z'
loop_
_atom_site_label
_atom_site_fract_x
_atom_site_fract_y
_atom_site_fract_z
Nd1 0.0000 0.0000 0.0000
Nd2 0.1661 0.5000 0.3343
Y1 0.0000 0.0000 0.5000
Th1 0.1648 0.5000 0.8302
As1 0.9996 0.5000 0.2557
As2 0.1644 0.0000 0.5840
As3 0.1678 0.0000 0.0813
```

DFT total energy	-163.00	eV per cell


# 4
The following is a PBE calculation of a geometry-optimized NdYTh2As4 structure, from the Alexandria database.

The structure in CIF format:
```
data_NdYTh2As4
_cell_length_a 7.2981
_cell_length_b 4.2374
_cell_length_c 7.3391
_cell_angle_alpha 90.00
_cell_angle_beta 109.65
_cell_angle_gamma 90.00
_space_group_name_H-M_alt 'P 1 2/m 1'
_space_group_IT_number 10
loop_
_space_group_symop_operation_xyz
'x,y,z'
'-x,-y,-z'
'-x,y,-z'
'x,-y,z'
loop_
_atom_site_label
_atom_site_fract_x
_atom_site_fract_y
_atom_site_fract_z
Nd1 0.0000 0.0000 0.0000
Y1 0.0000 0.5000 0.5000
Th1 0.5000 0.0000 0.5000
Th2 0.5000 0.5000 0.0000
As1 0.2466 0.0000 0.7451
As2 0.2498 0.5000 0.2535
```

DFT total energy	-56.45	eV per cell


# 5
The following is a PBE calculation of a geometry-optimized Nd2YThAs4 structure, from the Alexandria database.

The structure in CIF format:
```
data_Nd2YThAs4
_cell_length_a 7.3146
_cell_length_b 4.2378
_cell_length_c 7.3415
_cell_angle_alpha 90.00
_cell_angle_beta 109.44
_cell_angle_gamma 90.00
_space_group_name_H-M_alt 'P 1 2/m 1'
_space_group_IT_number 10
loop_
_space_group_symop_operation_xyz
'x,y,z'
'-x,-y,-z'
'-x,y,-z'
'x,-y,z'
loop_
_atom_site_label
_atom_site_fract_x
_atom_site_fract_y
_atom_site_fract_z
Nd1 0.0000 0.0000 0.0000
Nd2 0.5000 0.5000 0.0000
Y1 0.0000 0.5000 0.5000
Th1 0.5000 0.0000 0.5000
As1 0.2455 0.0000 0.7426
As2 0.2490 0.5000 0.2550
```

DFT total energy	-54.15	eV per cell


# 6
The following is a PBE calculation of a geometry-optimized NdY3Th4As8 structure, from the Alexandria database.

The structure in CIF format:
```
data_NdY3Th4As8
_cell_length_a 8.4415
_cell_length_b 8.4415
_cell_length_c 20.5118
_cell_angle_alpha 90.00
_cell_angle_beta 90.00
_cell_angle_gamma 120.00
_space_group_name_H-M_alt 'R -3 m'
_space_group_IT_number 166
_space_group_name_Hall '-R 3 2"'
loop_
_atom_site_label
_atom_site_fract_x
_atom_site_fract_y
_atom_site_fract_z
Nd1 0.0000 0.0000 0.0000
Y1 0.0000 0.5000 0.0000
Th1 0.0000 0.0000 0.5000
Th2 0.0000 0.5000 0.5000
As1 0.0000 0.0000 0.2522
As2 0.0037 0.5019 0.2512
```

DFT total energy	-343.93	eV per cell


# 7
The following is a PBE calculation of a geometry-optimized Nd2ThZrAs4 structure, from the Alexandria database.

The structure in CIF format:
```
data_Nd2ThZrAs4
_cell_length_a 7.1974
_cell_length_b 4.1668
_cell_length_c 7.2411
_cell_angle_alpha 90.00
_cell_angle_beta 109.37
_cell_angle_gamma 90.00
_space_group_name_H-M_alt 'P 1 2/m 1'
_space_group_IT_number 10
loop_
_space_group_symop_operation_xyz
'x,y,z'
'-x,-y,-z'
'-x,y,-z'
'x,-y,z'
loop_
_atom_site_label
_atom_site_fract_x
_atom_site_fract_y
_atom_site_fract_z
Nd1 0.0000 0.0000 0.0000
Nd2 0.5000 0.5000 0.0000
Th1 0.0000 0.5000 0.5000
Zr1 0.5000 0.0000 0.5000
As1 0.2584 0.0000 0.7401
As2 0.2666 0.5000 0.2675
```

DFT total energy	-54.98	eV per cell


# 8
The following is a PBE calculation of a geometry-optimized NdTiAs3 structure, from the Alexandria database.

The structure in CIF format:
```
data_NdTiAs3
_cell_length_a 12.6397
_cell_length_b 5.7636
_cell_length_c 5.8489
_cell_angle_alpha 90.00
_cell_angle_beta 90.00
_cell_angle_gamma 90.00
_space_group_name_H-M_alt 'P b c m'
_space_group_IT_number 57
loop_
_space_group_symop_operation_xyz
'x,y,z'
'-x,-y,-z'
'-x,-y,z+1/2'
'x,y,-z+1/2'
'x,-y+1/2,-z'
'-x,y+1/2,z'
'-x,y+1/2,-z+1/2'
'x,-y+1/2,z+1/2'
loop_
_atom_site_label
_atom_site_fract_x
_atom_site_fract_y
_atom_site_fract_z
Nd1 0.1844 0.0085 0.2500
Ti1 0.4168 0.7500 0.0000
As1 0.0022 0.7500 0.0000
As2 0.2817 0.5086 0.2500
As3 0.4254 0.1131 0.2500
```

DFT total energy	-125.20	eV per cell


Sequential formation energy output: -1.252 -1.476 -1.500 -1.472 -1.516 -1.475 -1.360 -0.938 eV/atom